(1)
The following is a DFT calculation (GGA-PBE) of LaOs2Cl after structural relaxation.

Summary:
The density of states at the Fermi level comes out at 5.1 states/eV/f.u. The value obtained for the formation energy (no corrections) is 1.344 eV per atom. For the energy above the most stable polymorph in this dataset, the calculation gives 609 kJ/mol of formula units.

Unit cell a=4.7726 b=4.7726 c=4.7726 alpha=60.00 beta=60.00 gamma=60.00
Fractional positions:
Os (0.7500, 0.7500, 0.7500)
Os (0.2500, 0.2500, 0.2500)
La (0.5000, 0.5000, 0.5000)
Cl (0.0000, 0.0000, 0.0000)

(2)
The following is a DFT calculation (GGA-PBE) of La2OsCl after structural relaxation.

Summary:
The density of states at the Fermi level comes out at 2.2 states/eV/f.u. The value obtained for the formation energy (no corrections) is -0.566 eV per atom. For the energy above the most stable polymorph in this dataset, the calculation gives 131 kJ/mol of formula units.

Unit cell a=6.4717 b=6.4717 c=8.0870 alpha=66.41 beta=66.41 gamma=90.00
Fractional positions:
Os (0.0000, 0.0000, 0.0000)
Os (0.7500, 0.2500, 0.5000)
La (0.8750, 0.9195, 0.7500)
La (0.0805, 0.6250, 0.2500)
La (0.6695, 0.1250, 0.2500)
La (0.3750, 0.3305, 0.7500)
Cl (0.5000, 0.5000, 0.0000)
Cl (0.2500, 0.7500, 0.5000)

(3)
The following is a DFT calculation (GGA-PBE) of LaOs2Cl after structural relaxation.

Summary:
The density of states at the Fermi level comes out at 0.6 states/eV/f.u. The value obtained for the formation energy (no corrections) is -0.235 eV per atom. For the energy above the most stable polymorph in this dataset, the calculation gives 0 kJ/mol of formula units.

Unit cell a=4.0774 b=4.0774 c=7.8454 alpha=75.59 beta=75.59 gamma=59.99
Fractional positions:
Os (0.0351, 0.0351, 0.8847)
Os (0.6797, 0.6797, 0.9538)
La (0.2646, 0.2646, 0.2097)
Cl (0.5206, 0.5206, 0.4518)

(4)
The following is a DFT calculation (GGA-PBE) of LaOs2Cl after structural relaxation.

Summary:
The density of states at the Fermi level comes out at 3.6 states/eV/f.u. The value obtained for the formation energy (no corrections) is -0.072 eV per atom. For the energy above the most stable polymorph in this dataset, the calculation gives 63 kJ/mol of formula units.

Unit cell a=3.4303 b=3.4303 c=8.3070 alpha=90.00 beta=90.00 gamma=90.00
Fractional positions:
La (0.5000, 0.5000, 0.7725)
Os (0.5000, 0.5000, 0.1268)
Os (0.0000, 0.0000, 0.0351)
Cl (0.0000, 0.0000, 0.5656)

(5)
The following is a DFT calculation (GGA-PBE) of La4OsCl3 after structural relaxation.

Summary:
The density of states at the Fermi level comes out at 6.3 states/eV/f.u. The value obtained for the formation energy (no corrections) is -1.255 eV per atom.

Unit cell a=7.2794 b=7.5153 c=8.5511 alpha=90.00 beta=90.00 gamma=108.39
Fractional positions:
La (0.4909, 0.7763, 0.1117)
La (0.0214, 0.7795, 0.3646)
La (0.5214, 0.7795, 0.6354)
La (0.4786, 0.2205, 0.3646)
La (0.9909, 0.7763, 0.8883)
La (0.0091, 0.2237, 0.1117)
La (0.5091, 0.2237, 0.8883)
La (0.9786, 0.2205, 0.6354)
Cl (0.2500, 0.5000, 0.8574)
Cl (0.7500, 0.5000, 0.6106)
Cl (0.7500, 0.5000, 0.1426)
Cl (0.2500, 0.5000, 0.3894)
Cl (0.7500, 0.0000, 0.3681)
Cl (0.2500, 0.0000, 0.6319)
Os (0.7500, 0.0000, 0.8734)
Os (0.2500, 0.0000, 0.1266)

(6)
The following is a DFT calculation (GGA-PBE) of LaOsCl2 after structural relaxation.

Summary:
The density of states at the Fermi level comes out at 4.5 states/eV/f.u. The value obtained for the formation energy (no corrections) is 0.294 eV per atom. For the energy above the most stable polymorph in this dataset, the calculation gives 375 kJ/mol of formula units.

Unit cell a=8.1813 b=8.1813 c=8.1813 alpha=26.95 beta=26.95 gamma=26.95
Fractional positions:
Cl (0.8780, 0.8780, 0.8780)
Cl (0.1220, 0.1220, 0.1220)
Os (0.5000, 0.5000, 0.5000)
La (0.0000, 0.0000, 0.0000)